[1]
An optimized crystal structure of Sm12HoCd6. Source: Alexandria, functional PBE-GGA.

a b c (Å): 8.2626 8.2626 8.2626
angles (deg): 87.70 87.70 87.70
Sites, in units of the cell vectors:
Cd  0.7389  0.2639  0.1128
Cd  0.2611  0.7361  0.8872
Cd  0.7361  0.8872  0.2611
Ho  0.0000  0.0000  0.0000
Sm  0.4661  0.5678  0.1940
Sm  0.0386  0.1556  0.3822
Cd  0.2639  0.1128  0.7389
Sm  0.5678  0.1940  0.4661
Sm  0.8444  0.6178  0.9614
Sm  0.1940  0.4661  0.5678
Sm  0.5339  0.4322  0.8060
Sm  0.8060  0.5339  0.4322
Sm  0.4322  0.8060  0.5339
Cd  0.1128  0.7389  0.2639
Sm  0.3822  0.0386  0.1556
Cd  0.8872  0.2611  0.7361
Sm  0.9614  0.8444  0.6178
Sm  0.6178  0.9614  0.8444
Sm  0.1556  0.3822  0.0386

Output
Space-group type   R-3
D(E_F)   24.47 states/eV per cell
Magnetization   0.00 μB/cell



[2]
An optimized crystal structure of Sm3Ho5Cd2. Source: Alexandria, functional PBE-GGA.

a b c (Å): 6.6322 10.3822 10.3822
angles (deg): 88.79 71.37 71.37
Sites, in units of the cell vectors:
Ho  0.0980  0.5736  0.2304
Sm  0.7500  0.0000  0.0000
Ho  0.2500  0.5000  0.5000
Ho  0.5980  0.2304  0.5736
Ho  0.9889  0.2611  0.2611
Sm  0.6412  0.6348  0.0827
Cd  0.6360  0.0000  0.7280
Sm  0.8588  0.9173  0.3652
Ho  0.9020  0.4264  0.7696
Cd  0.3640  0.0000  0.2720
Cd  0.1360  0.7280  0.0000
Ho  0.0111  0.7389  0.7389
Sm  0.2500  0.0000  0.0000
Ho  0.4020  0.7696  0.4264
Cd  0.8640  0.2720  0.0000
Ho  0.4889  0.2611  0.2611
Ho  0.7500  0.5000  0.5000
Sm  0.3588  0.3652  0.9173
Sm  0.1412  0.0827  0.6348
Ho  0.5111  0.7389  0.7389

Output
Space-group type   Ibam
D(E_F)   24.90 states/eV per cell
Magnetization   0.00 μB/cell



[3]
An optimized crystal structure of SmHo5Cd2. Source: Alexandria, functional PBE-GGA.

a b c (Å): 3.5826 8.3622 8.3622
angles (deg): 76.94 77.63 77.63
Sites, in units of the cell vectors:
Ho  0.0000  0.5000  0.5000
Cd  0.2599  0.2401  0.2401
Ho  0.6344  0.1400  0.5911
Sm  0.0000  0.0000  0.0000
Ho  0.3656  0.4089  0.8600
Ho  0.6344  0.5911  0.1400
Cd  0.7401  0.7599  0.7599
Ho  0.3656  0.8600  0.4089

Output
Space-group type   Immm
D(E_F)   9.30 states/eV per cell
Magnetization   0.00 μB/cell



[4]
An optimized crystal structure of Sm6HoCd. Source: Alexandria, functional PBE-GGA.

a b c (Å): 4.9792 4.9792 10.1761
angles (deg): 90.00 90.00 90.00
Sites, in units of the cell vectors:
Sm  0.5000  0.5000  0.5000
Sm  0.0000  0.5000  0.7548
Sm  0.5000  0.0000  0.2452
Sm  0.0000  0.5000  0.2452
Ho  0.0000  0.0000  0.5000
Cd  0.0000  0.0000  0.0000
Sm  0.5000  0.5000  0.0000
Sm  0.5000  0.0000  0.7548

Output
Offset from the most stable computed form   0 meV per atom
Space-group type   P4/mmm
D(E_F)   10.83 states/eV per cell
Magnetization   0.00 μB/cell



Number 1: calculated total energy -3.607 eV/atom, formation energy -9 kJ per mole of atoms. Number 2: calculated total energy -3.741 eV/atom, formation energy 14 kJ per mole of atoms. Number 3: calculated total energy -3.757 eV/atom, formation energy -7 kJ per mole of atoms. Number 4: calculated total energy -4.263 eV/atom, formation energy -4 kJ per mole of atoms.